Record 1
This record from Alexandria describes crystalline ZnIn5 at its relaxed geometry. The functional is GGA-PBE.

calculated volume: 27.912 A^3/atom
final energy: -2.293 eV per atom
calculated formation energy: 202 meV/atom
DOS(E_F): 3.153 states/eV/f.u.

abc: 8.7498 8.7498 8.7498
angles: 90.00 90.00 90.00
Space group F-43m (No. 216)
Unique sites:
1 Zn 0.0000 0.0000 0.0000
2 In 0.1253 0.1253 0.3747
3 In 0.2500 0.2500 0.7500

---

Record 2
This record from Alexandria describes crystalline CsRhF2 at its relaxed geometry. The functional is GGA-PBE.

calculated volume: 22.530 A^3/atom
final energy: -3.999 eV per atom
DOS(E_F): 0.000 states/eV/f.u.
energy above the lowest structure with this stoichiometry: 0.187 eV/atom
energy relative to the elements, uncorrected: -1.0118 eV/atom

abc: 3.9418 3.9418 20.0916
angles: 90.00 90.00 120.00
Space group R-3m (No. 166, hexagonal axes)
Unique sites:
1 Cs 0.0000 0.0000 0.0000
2 Rh 0.0000 0.0000 0.5000
3 F 0.0000 0.0000 0.1312